1.
BeGa | PBE | relaxed

Geometry as CIF:
```
data_BeGa
_cell_length_a 7.1322
_cell_length_b 7.1322
_cell_length_c 7.1322
_cell_angle_alpha 90.00
_cell_angle_beta 90.00
_cell_angle_gamma 90.00
_symmetry_space_group_name_H-M 'I -4 3 m'
_symmetry_Int_Tables_number 217
_symmetry_space_group_name_Hall 'I -4 2 3'
loop_
_atom_site_label
_atom_site_type_symbol
_atom_site_fract_x
_atom_site_fract_y
_atom_site_fract_z
Be1 Be 0.1895 0.1895 0.1895
Ga1 Ga 0.1329 0.1329 0.8671
```

Summary:
formation enthalpy at 0 K: 0.68 eV per atom
ρ: 2.88 Mg/m³

=====

2.
Na3TbEr2Te6 | PBE | relaxed

Geometry as CIF:
```
data_Na3TbEr2Te6
_cell_length_a 7.6429
_cell_length_b 13.2385
_cell_length_c 7.9828
_cell_angle_alpha 90.00
_cell_angle_beta 108.62
_cell_angle_gamma 90.00
_symmetry_space_group_name_H-M 'C 1 2/m 1'
_symmetry_Int_Tables_number 12
_symmetry_space_group_name_Hall '-C 2y'
loop_
_atom_site_label
_atom_site_type_symbol
_atom_site_fract_x
_atom_site_fract_y
_atom_site_fract_z
Na1 Na 0.0000 0.0000 0.0000
Na2 Na 0.0000 0.3340 0.0000
Tb1 Tb 0.0000 0.5000 0.5000
Er1 Er 0.0000 0.1668 0.5000
Te1 Te 0.2408 0.0000 0.7310
Te2 Te 0.2451 0.3319 0.7310
```

Summary:
ΔE_f (raw): -1309 meV per atom
ρ: 5.76 Mg/m³